Record 1
VASP calculation (meta-GGA SCAN) on LaAgPb at its PBEsol-relaxed geometry.

## Properties
* E_form: -173 kJ/mol of formula units
* E_tot: -50.68 eV per atom

Cell lengths 4.9009, 4.9009, 3.7465 Å; angles 90.00, 90.00, 120.00 degrees
Last column: nearest neighbours and their distance in Å.
Fractional coordinates of all 3 atoms:
1 La 0.0000 0.0000 0.0000  6 Ag 3.39, 6 Pb 3.39, 2 La 3.75
2 Ag 0.6667 0.3333 0.5000  3 Pb 2.83
3 Pb 0.3333 0.6667 0.5000  3 Ag 2.83

***

Record 2
VASP calculation (meta-GGA SCAN) on TcHg2Os at its PBEsol-relaxed geometry.

## Properties
* E_form: 347 kJ/mol of formula units
* E_tot: -59.92 eV per atom
* excess energy over the best structure of this formula in the dataset: 0.0 kJ per mole of atoms

Cell lengths 2.8687, 4.8396, 4.8555 Å; angles 90.00, 90.00, 90.00 degrees
Last column: nearest neighbours and their distance in Å.
Fractional coordinates of all 4 atoms:
1 Tc 0.0000 0.0000 0.0000  4 Hg 2.81, 4 Os 2.82, 2 Tc 2.87
2 Hg 0.0000 0.5000 0.5000  4 Os 2.81, 6 Hg 2.82-2.87
3 Hg 0.5000 0.5000 0.0000  4 Tc 2.81, 6 Hg 2.82-2.87
4 Os 0.5000 0.0000 0.5000  4 Hg 2.81, 4 Tc 2.82, 2 Os 2.87

***

Record 3
VASP calculation (meta-GGA SCAN) on La3Sc at its PBEsol-relaxed geometry.

## Properties
* E_form: 13 kJ/mol of formula units
* E_tot: -35.85 eV per atom

Cell lengths 6.1490, 11.3024, 7.0930 Å; angles 90.00, 90.00, 90.00 degrees
Last column: nearest neighbours and their distance in Å.
Fractional coordinates of all 16 atoms:
1 La 0.0811 0.2500 0.1287  8 La 3.43-3.56, 4 Sc 3.52-3.65
2 La 0.2452 0.5065 0.3836  9 La 3.43-3.61, 3 Sc 3.43-3.52
3 La 0.2452 0.9935 0.3836  9 La 3.43-3.61, 3 Sc 3.43-3.52
4 La 0.2548 0.0065 0.8836  9 La 3.43-3.61, 3 Sc 3.43-3.52
5 La 0.2548 0.4935 0.8836  9 La 3.43-3.61, 3 Sc 3.43-3.52
6 La 0.4189 0.7500 0.6287  8 La 3.43-3.56, 4 Sc 3.52-3.65
7 La 0.5811 0.2500 0.3713  8 La 3.43-3.56, 4 Sc 3.52-3.65
8 La 0.7452 0.5065 0.1164  9 La 3.43-3.61, 3 Sc 3.43-3.52
9 La 0.7452 0.9935 0.1164  9 La 3.43-3.61, 3 Sc 3.43-3.52
10 La 0.7548 0.0065 0.6164  9 La 3.43-3.61, 3 Sc 3.43-3.52
11 La 0.7548 0.4935 0.6164  9 La 3.43-3.61, 3 Sc 3.43-3.52
12 La 0.9189 0.7500 0.8713  8 La 3.43-3.56, 4 Sc 3.52-3.65
13 Sc 0.0918 0.2500 0.6327  10 La 3.43-3.65, 2 Sc 3.50
14 Sc 0.4082 0.7500 0.1327  10 La 3.43-3.65, 2 Sc 3.50
15 Sc 0.5918 0.2500 0.8673  10 La 3.43-3.65, 2 Sc 3.50
16 Sc 0.9082 0.7500 0.3673  10 La 3.43-3.65, 2 Sc 3.50

***

Record 4
VASP calculation (meta-GGA SCAN) on CrP2W at its PBEsol-relaxed geometry.

## Properties
* E_form: -151 kJ/mol of formula units
* E_tot: -27.61 eV per atom
* excess energy over the best structure of this formula in the dataset: 2.3 kJ per mole of atoms

Cell lengths 5.8492, 5.8492, 5.8492 Å; angles 149.32, 148.88, 44.27 degrees
Last column: nearest neighbours and their distance in Å.
Fractional coordinates of all 4 atoms:
1 Cr 0.0000 0.0000 0.0000  6 P 2.32-2.35
2 P 0.1600 0.6600 0.5000  2 Cr 2.32, 4 W 2.42
3 P 0.4253 0.4253 0.0000  4 Cr 2.35, 2 W 2.44
4 W 0.7534 0.2534 0.5000  6 P 2.42-2.44

***

Record 5
VASP calculation (meta-GGA SCAN) on Hf3TiS at its PBEsol-relaxed geometry.

## Properties
* energy relative to the elements, uncorrected: -0.340 eV per atom
* E_tot: -43.08 eV per atom

Cell lengths 4.6967, 4.6967, 4.6967 Å; angles 90.00, 90.00, 90.00 degrees
Last column: nearest neighbours and their distance in Å.
Fractional coordinates of all 5 atoms:
1 Hf 0.0000 0.0000 0.5000  2 S 2.35
2 Hf 0.0000 0.5000 0.0000  2 S 2.35
3 Hf 0.5000 0.0000 0.0000  2 S 2.35
4 Ti 0.5000 0.5000 0.5000  12 Hf 3.32
5 S 0.0000 0.0000 0.0000  6 Hf 2.35

***

Record 6
VASP calculation (meta-GGA SCAN) on GaCoP2O at its PBEsol-relaxed geometry.

## Properties
* energy relative to the elements, uncorrected: 0.646 eV per atom
* E_tot: -11.49 eV per atom

Cell lengths 4.8030, 4.8030, 3.4383 Å; angles 90.00, 90.00, 90.00 degrees
Last column: nearest neighbours and their distance in Å.
Fractional coordinates of all 5 atoms:
1 Ga 0.0000 0.0000 0.0000  2 O 1.72
2 Co 0.5000 0.5000 0.5000  8 P 2.95
3 P 0.0000 0.5000 0.0000  2 Ga 2.40
4 P 0.5000 0.0000 0.0000  2 Ga 2.40
5 O 0.0000 0.0000 0.5000  2 Ga 1.72

***

DOS(E_F)
In order: 1.8; 3.1; 17.9; 1.7; 3.7; 4.2
Unit: states/eV/cell